## CeVO2 (GGA+U)

Data for a geometry-optimized CeVO2 structure.

Cell and atoms, written as extended XYZ:
```
4
Lattice="3.372 0.000 0.000 1.686 2.920 0.000 1.686 0.973 6.231" Properties=species:S:1:pos:R:3 pbc="T T T"
Ce 0.000 0.000 0.000
O 5.058 2.920 2.139
O 1.686 0.973 4.093
V 3.372 1.947 3.116
```

## Properties
The value obtained for the energy above the most stable polymorph in this dataset is 0.50 eV per formula unit. The density of states at the Fermi level is 1.85 states/eV per cell. The value obtained for the volume is 15.338 A^3/atom. Its total energy is -7.72 eV/atom. As for the space group: R-3m (166).